A plane-wave DFT calculation with PBE+U was carried out for CoHgTeO after structural relaxation.

Output
Spin magnetization (μB per cell): 5.93
Uncorrected energy (eV/atom): -3.70

a = 4.0548 Å, b = 4.0548 Å, c = 9.4253 Å
α = 90.00°, β = 90.00°, γ = 90.00°
Closest atoms and distances in Å follow each position.
Space group P4/nmm (No. 129, origin choice 2)
Symmetry-distinct sites (fractional):
Co  0.2500  0.2500  0.0132 [2 per cell]  4 O 2.03
Hg  0.2500  0.2500  0.6562 [2 per cell]  4 Te 2.89
Te  0.2500  0.2500  0.3088 [2 per cell]  1 Co 2.79, 4 Hg 2.89
O  0.2500  0.7500  0.0000 [2 per cell]  4 Co 2.03